1.
The following is a DFT calculation (GGA-PBE) of an optimized crystal structure of CaIrF3.

The structure in CIF format:
```
data_CaIrF3
_cell_length_a 4.4001
_cell_length_b 4.4001
_cell_length_c 4.4001
_cell_angle_alpha 90.00
_cell_angle_beta 90.00
_cell_angle_gamma 90.00
_symmetry_space_group_name_H-M 'P m -3 m'
_symmetry_Int_Tables_number 221
_symmetry_space_group_name_Hall '-P 4 2 3'
loop_
_atom_site_label
_atom_site_fract_x
_atom_site_fract_y
_atom_site_fract_z
Ca1 0.0000 0.0000 0.0000
Ir1 0.5000 0.5000 0.5000
F1 0.0000 0.0000 0.5000
```

Computed properties:
ρ (g/cm³): 5.64
Energy relative to the lowest polymorph listed for this composition (eV per atom): 0.0000
Energy relative to the elements, uncorrected (eV per atom): -1.4372

---

2.
The following is a DFT calculation (GGA-PBE) of an optimized crystal structure of CaIrF.

The structure in CIF format:
```
data_CaIrF
_cell_length_a 4.0629
_cell_length_b 4.0629
_cell_length_c 7.8055
_cell_angle_alpha 90.00
_cell_angle_beta 90.00
_cell_angle_gamma 120.00
_symmetry_space_group_name_H-M 'P 63/m m c'
_symmetry_Int_Tables_number 194
_symmetry_space_group_name_Hall '-P 6c 2c'
loop_
_atom_site_label
_atom_site_fract_x
_atom_site_fract_y
_atom_site_fract_z
Ca1 0.0000 0.0000 0.0000
Ir1 0.3333 0.6667 0.2500
F1 0.3333 0.6667 0.7500
```

Computed properties:
ρ (g/cm³): 7.48
Energy relative to the lowest polymorph listed for this composition (eV per atom): 1.6109
Energy relative to the elements, uncorrected (eV per atom): -0.3210

---

3.
The following is a DFT calculation (GGA-PBE) of an optimized crystal structure of CaIrF.

The structure in CIF format:
```
data_CaIrF
_cell_length_a 3.7031
_cell_length_b 3.7031
_cell_length_c 15.3925
_cell_angle_alpha 90.00
_cell_angle_beta 90.00
_cell_angle_gamma 90.00
_symmetry_space_group_name_H-M 'I 4/m m m'
_symmetry_Int_Tables_number 139
_symmetry_space_group_name_Hall '-I 4 2'
loop_
_atom_site_label
_atom_site_fract_x
_atom_site_fract_y
_atom_site_fract_z
Ca1 0.0000 0.0000 0.1596
Ir1 0.0000 0.5000 0.0000
F1 0.0000 0.5000 0.2500
```

Computed properties:
ρ (g/cm³): 7.91
Energy relative to the lowest polymorph listed for this composition (eV per atom): 0.0324
Energy relative to the elements, uncorrected (eV per atom): -1.8995

---

4.
The following is a DFT calculation (GGA-PBE) of an optimized crystal structure of CaIrF.

The structure in CIF format:
```
data_CaIrF
_cell_length_a 16.6153
_cell_length_b 3.6242
_cell_length_c 3.5199
_cell_angle_alpha 90.00
_cell_angle_beta 99.94
_cell_angle_gamma 90.00
_symmetry_space_group_name_H-M 'C 1 2/m 1'
_symmetry_Int_Tables_number 12
loop_
_symmetry_equiv_pos_as_xyz
'x,y,z'
'-x,-y,-z'
'-x,y,-z'
'x,-y,z'
'x+1/2,y+1/2,z'
'-x+1/2,-y+1/2,-z'
'-x+1/2,y+1/2,-z'
'x+1/2,-y+1/2,z'
loop_
_atom_site_label
_atom_site_fract_x
_atom_site_fract_y
_atom_site_fract_z
Ca1 0.0927 0.0000 0.0749
Ir1 0.2309 0.5000 0.7103
F1 0.0000 0.0000 0.5000
F2 0.0000 0.5000 0.0000
```

Computed properties:
ρ (g/cm³): 7.99
Energy relative to the lowest polymorph listed for this composition (eV per atom): 0.1585
Energy relative to the elements, uncorrected (eV per atom): -1.7733

---

5.
The following is a DFT calculation (GGA-PBE) of an optimized crystal structure of CaIrF.

The structure in CIF format:
```
data_CaIrF
_cell_length_a 3.5078
_cell_length_b 3.7625
_cell_length_c 7.9303
_cell_angle_alpha 90.00
_cell_angle_beta 94.29
_cell_angle_gamma 90.00
_symmetry_space_group_name_H-M 'P 1 21/m 1'
_symmetry_Int_Tables_number 11
loop_
_symmetry_equiv_pos_as_xyz
'x,y,z'
'-x,-y,-z'
'-x,y+1/2,-z'
'x,-y+1/2,z'
loop_
_atom_site_label
_atom_site_fract_x
_atom_site_fract_y
_atom_site_fract_z
Ca1 0.2183 0.2500 0.3217
Ir1 0.2806 0.2500 0.9640
F1 0.2494 0.7500 0.4906
```

Computed properties:
ρ (g/cm³): 8.00
Energy relative to the lowest polymorph listed for this composition (eV per atom): 0.0642
Energy relative to the elements, uncorrected (eV per atom): -1.8677

---

6.
The following is a DFT calculation (GGA-PBE) of an optimized crystal structure of Ca2IrF6.

The structure in CIF format:
```
data_Ca2IrF6
_cell_length_a 5.3740
_cell_length_b 5.3740
_cell_length_c 10.1214
_cell_angle_alpha 90.00
_cell_angle_beta 90.00
_cell_angle_gamma 90.00
_symmetry_space_group_name_H-M 'P 42/m n m'
_symmetry_Int_Tables_number 136
_symmetry_space_group_name_Hall '-P 4n 2n'
loop_
_atom_site_label
_atom_site_fract_x
_atom_site_fract_y
_atom_site_fract_z
Ca1 0.0000 0.0000 0.1682
Ir1 0.0000 0.0000 0.5000
F1 0.1824 0.1824 0.0000
F2 0.1896 0.1896 0.3466
```

Computed properties:
ρ (g/cm³): 4.39
Energy relative to the elements, uncorrected (eV per atom): -2.7099

---

7.
The following is a DFT calculation (GGA-PBE) of an optimized crystal structure of CaIrF.

The structure in CIF format:
```
data_CaIrF
_cell_length_a 4.5295
_cell_length_b 2.9048
_cell_length_c 15.2297
_cell_angle_alpha 90.00
_cell_angle_beta 90.00
_cell_angle_gamma 90.00
_symmetry_space_group_name_H-M 'P n m a'
_symmetry_Int_Tables_number 62
loop_
_symmetry_equiv_pos_as_xyz
'x,y,z'
'-x,-y,-z'
'-x+1/2,-y,z+1/2'
'x+1/2,y,-z+1/2'
'x+1/2,-y+1/2,-z+1/2'
'-x+1/2,y+1/2,z+1/2'
'-x,y+1/2,-z'
'x,-y+1/2,z'
loop_
_atom_site_label
_atom_site_fract_x
_atom_site_fract_y
_atom_site_fract_z
Ca1 0.2452 0.2500 0.1602
Ir1 0.2496 0.2500 0.4942
F1 0.0633 0.7500 0.2733
```

Computed properties:
ρ (g/cm³): 8.33
Energy relative to the lowest polymorph listed for this composition (eV per atom): 0.1557
Energy relative to the elements, uncorrected (eV per atom): -1.7761

---

8.
The following is a DFT calculation (GGA-PBE) of an optimized crystal structure of Ca2IrF2.

The structure in CIF format:
```
data_Ca2IrF2
_cell_length_a 3.5926
_cell_length_b 3.5926
_cell_length_c 13.3322
_cell_angle_alpha 90.00
_cell_angle_beta 90.00
_cell_angle_gamma 90.00
_symmetry_space_group_name_H-M 'I 4/m m m'
_symmetry_Int_Tables_number 139
_symmetry_space_group_name_Hall '-I 4 2'
loop_
_atom_site_label
_atom_site_fract_x
_atom_site_fract_y
_atom_site_fract_z
Ca1 0.0000 0.0000 0.1426
Ir1 0.0000 0.0000 0.5000
F1 0.0000 0.5000 0.2500
```

Computed properties:
ρ (g/cm³): 5.99
Energy relative to the lowest polymorph listed for this composition (eV per atom): 0.0000
Energy relative to the elements, uncorrected (eV per atom): -2.1362

---

9.
The following is a DFT calculation (GGA-PBE) of an optimized crystal structure of Ca3IrF.

The structure in CIF format:
```
data_Ca3IrF
_cell_length_a 4.7295
_cell_length_b 4.7295
_cell_length_c 4.7295
_cell_angle_alpha 90.00
_cell_angle_beta 90.00
_cell_angle_gamma 90.00
_symmetry_space_group_name_H-M 'P m -3 m'
_symmetry_Int_Tables_number 221
_symmetry_space_group_name_Hall '-P 4 2 3'
loop_
_atom_site_label
_atom_site_fract_x
_atom_site_fract_y
_atom_site_fract_z
Ca1 0.0000 0.0000 0.5000
Ir1 0.5000 0.5000 0.5000
F1 0.0000 0.0000 0.0000
```

Computed properties:
ρ (g/cm³): 5.20
Energy relative to the lowest polymorph listed for this composition (eV per atom): 0.0000
Energy relative to the elements, uncorrected (eV per atom): -1.0989

---

10.
The following is a DFT calculation (GGA-PBE) of an optimized crystal structure of CaIrF3.

The structure in CIF format:
```
data_CaIrF3
_cell_length_a 4.3678
_cell_length_b 4.3678
_cell_length_c 4.3678
_cell_angle_alpha 90.00
_cell_angle_beta 90.00
_cell_angle_gamma 90.00
_symmetry_space_group_name_H-M 'P m -3 m'
_symmetry_Int_Tables_number 221
_symmetry_space_group_name_Hall '-P 4 2 3'
loop_
_atom_site_label
_atom_site_fract_x
_atom_site_fract_y
_atom_site_fract_z
Ca1 0.0000 0.0000 0.0000
Ir1 0.5000 0.5000 0.5000
F1 0.0000 0.5000 0.5000
```

Computed properties:
ρ (g/cm³): 5.77
Energy relative to the lowest polymorph listed for this composition (eV per atom): 0.1285
Energy relative to the elements, uncorrected (eV per atom): -1.3087

---

11.
The following is a DFT calculation (GGA-PBE) of an optimized crystal structure of CaIrF.

The structure in CIF format:
```
data_CaIrF
_cell_length_a 3.8015
_cell_length_b 13.2515
_cell_length_c 4.4032
_cell_angle_alpha 90.00
_cell_angle_beta 90.00
_cell_angle_gamma 90.00
_symmetry_space_group_name_H-M 'C m c m'
_symmetry_Int_Tables_number 63
_symmetry_space_group_name_Hall '-C 2c 2'
loop_
_atom_site_label
_atom_site_fract_x
_atom_site_fract_y
_atom_site_fract_z
Ca1 0.0000 0.1529 0.2500
Ir1 0.0000 0.4698 0.2500
F1 0.0000 0.2475 0.7500
```

Computed properties:
ρ (g/cm³): 7.52
Energy relative to the lowest polymorph listed for this composition (eV per atom): 0.2312
Energy relative to the elements, uncorrected (eV per atom): -1.7007

---

12.
The following is a DFT calculation (GGA-PBE) of an optimized crystal structure of KCaIrF6.

The structure in CIF format:
```
data_KCaIrF6
_cell_length_a 5.7710
_cell_length_b 5.7710
_cell_length_c 11.1319
_cell_angle_alpha 90.00
_cell_angle_beta 90.00
_cell_angle_gamma 120.00
_symmetry_space_group_name_H-M 'P -3 1 c'
_symmetry_Int_Tables_number 163
_symmetry_space_group_name_Hall '-P 3 2c'
loop_
_atom_site_label
_atom_site_fract_x
_atom_site_fract_y
_atom_site_fract_z
K1 0.0000 0.0000 0.0000
Ca1 0.3333 0.6667 0.2500
Ir1 0.3333 0.6667 0.7500
F1 0.0325 0.3781 0.6482
```

Computed properties:
ρ (g/cm³): 3.99
Energy relative to the elements, uncorrected (eV per atom): -2.5472

---

- Among the records above, which one has the highest energy relative to the elements, uncorrected?
  number 2